#i
The following is a DFT calculation (PBE) of a relaxed B2NCl crystal.

**M_tot**: 0.000 μB/atom
**Theoretical density**: 3.03 g/cm³

Unit cell a=4.144 b=4.144 c=9.082 alpha=90.00 beta=90.00 gamma=90.00
Element x y z (fractional)
B 0.064 0.250 0.125
B 0.250 0.564 0.375
B 0.250 0.936 0.875
B 0.436 0.250 0.625
B 0.564 0.750 0.625
B 0.750 0.064 0.875
B 0.750 0.436 0.375
B 0.936 0.750 0.125
N 0.000 0.000 0.000
N 0.000 0.500 0.250
N 0.500 0.000 0.750
N 0.500 0.500 0.500
Cl 0.000 0.000 0.500
Cl 0.000 0.500 0.750
Cl 0.500 0.000 0.250
Cl 0.500 0.500 0.000

---

#ii
The following is a DFT calculation (PBE) of a relaxed B2NCl crystal.

**M_tot**: 0.000 μB/atom
**Theoretical density**: 3.22 g/cm³

Unit cell a=5.272 b=5.272 c=5.272 alpha=90.00 beta=90.00 gamma=90.00
Element x y z (fractional)
B 0.250 0.250 0.250
B 0.250 0.250 0.750
B 0.250 0.750 0.250
B 0.250 0.750 0.750
B 0.750 0.250 0.250
B 0.750 0.250 0.750
B 0.750 0.750 0.250
B 0.750 0.750 0.750
N 0.000 0.000 0.000
N 0.000 0.500 0.500
N 0.500 0.000 0.500
N 0.500 0.500 0.000
Cl 0.000 0.000 0.500
Cl 0.000 0.500 0.000
Cl 0.500 0.000 0.000
Cl 0.500 0.500 0.500

---

Most stable structure: #i

---

#i
The following is a DFT calculation (PBE) of a relaxed BNCl2 crystal.

**M_tot**: 0.000 μB/atom
**Theoretical density**: 1.68 g/cm³

Unit cell a=6.579 b=6.579 c=6.579 alpha=89.29 beta=89.29 gamma=89.29
Element x y z (fractional)
B 0.181 0.941 0.878
B 0.878 0.181 0.941
B 0.941 0.878 0.181
N 0.057 0.117 0.827
N 0.117 0.827 0.057
N 0.827 0.057 0.117
Cl 0.125 0.260 0.619
Cl 0.260 0.619 0.125
Cl 0.393 0.870 0.732
Cl 0.619 0.125 0.260
Cl 0.732 0.393 0.870
Cl 0.870 0.732 0.393

---

#ii
The following is a DFT calculation (PBE) of a relaxed BNCl2 crystal.

**M_tot**: 0.750 μB/atom
**Theoretical density**: 1.54 g/cm³

Unit cell a=6.632 b=6.632 c=6.632 alpha=60.00 beta=60.00 gamma=60.00
Element x y z (fractional)
B 0.125 0.125 0.125
B 0.875 0.875 0.875
N 0.375 0.375 0.375
N 0.625 0.625 0.625
Cl 0.000 0.000 0.000
Cl 0.000 0.000 0.500
Cl 0.000 0.500 0.000
Cl 0.500 0.000 0.000

---

Most stable structure: #i